DFT (GGA-PBE) results for SrTmGaAg after structural relaxation.

Cell lengths 7.441, 7.441, 7.441 Å; angles 90.00, 90.00, 90.00 degrees
Space group F-43m (No. 216)
One atom of each set of equivalent atoms:
Sr1 0.000 0.000 0.000 x4
Tm1 0.000 0.000 0.500 x4
Ga1 0.250 0.250 0.250 x4
Ag1 0.250 0.250 0.750 x4

Values from the calculation:
**Total moment**: 0.000 Bohr magnetons per cell
**VASP energy**: -13.23 eV per formula unit